Computed, not measured: NaHg2Bi6 after structural relaxation at the PBE level of DFT.

Structure (POSCAR):
```
NaHg2Bi6
1.0
-5.4194 1.3796 3.4596
0.1087 -0.3625 6.5644
2.5031 8.8905 0.4758
Hg Bi Na
2 6 1
Cartesian
-0.5189 4.7843 3.5789
-2.2887 5.1232 6.9210
-2.2181 2.0314 5.0894
-0.5896 7.8762 5.4105
-0.6446 8.0575 2.1295
2.1208 7.1861 3.6819
-4.9285 2.7214 6.8180
-2.2718 2.2125 1.8059
0.0000 0.0000 0.0000
```

Calculated values
**D(E_F)**: 0.281 states/eV/atom
**SG**: C2/m
**Formation energy**: -21 meV per atom